1.
# PBE HgIO, optimized geometry
# VASP energy, eV per atom: -2.199
data_HgIO
_chemical_formula_sum 'Hg2 I2 O2'
_symmetry_space_group_name_H-M 'P 1 m 1'
_symmetry_Int_Tables_number 6
_cell_length_a 4.420
_cell_length_b 4.688
_cell_length_c 7.936
_cell_angle_alpha 90.00
_cell_angle_beta 104.98
_cell_angle_gamma 90.00
loop_
_symmetry_equiv_pos_as_xyz
'x,y,z'
'x,-y,z'
loop_
_atom_site_label
_atom_site_fract_x
_atom_site_fract_y
_atom_site_fract_z
Hg1 0.000 0.000 0.000
Hg2 0.140 0.500 0.295
I1 0.225 0.000 0.565
I2 0.473 0.500 0.930
O1 0.590 0.500 0.192
O2 0.828 0.000 0.631

---

2.
# PBE Hg3IO, optimized geometry
# VASP energy, eV per atom: -1.391
data_Hg3IO
_chemical_formula_sum 'Hg3 I1 O1'
_symmetry_space_group_name_H-M 'P m -3 m'
_symmetry_Int_Tables_number 221
_symmetry_space_group_name_Hall '-P 4 2 3'
_cell_length_a 5.026
_cell_length_b 5.026
_cell_length_c 5.026
_cell_angle_alpha 90.00
_cell_angle_beta 90.00
_cell_angle_gamma 90.00
loop_
_atom_site_label
_atom_site_fract_x
_atom_site_fract_y
_atom_site_fract_z
Hg1 0.000 0.000 0.500
I1 0.500 0.500 0.500
O1 0.000 0.000 0.000

---

3.
# PBE HgIO2, optimized geometry
# VASP energy, eV per atom: -2.651
data_HgIO2
_chemical_formula_sum 'Hg4 I4 O8'
_symmetry_space_group_name_H-M 'I -4 2 d'
_symmetry_Int_Tables_number 122
_symmetry_space_group_name_Hall 'I -4 2bw'
_cell_length_a 6.218
_cell_length_b 6.218
_cell_length_c 7.408
_cell_angle_alpha 90.00
_cell_angle_beta 90.00
_cell_angle_gamma 90.00
loop_
_atom_site_label
_atom_site_fract_x
_atom_site_fract_y
_atom_site_fract_z
Hg1 0.000 0.000 0.000
I1 0.000 0.000 0.500
O1 0.245 0.250 0.125

---

4.
# PBE Hg3IO, optimized geometry
# VASP energy, eV per atom: -1.568
data_Hg3IO
_chemical_formula_sum 'Hg12 I4 O4'
_symmetry_space_group_name_H-M 'C 1 2/m 1'
_symmetry_Int_Tables_number 12
_cell_length_a 15.546
_cell_length_b 6.514
_cell_length_c 12.058
_cell_angle_alpha 90.00
_cell_angle_beta 120.24
_cell_angle_gamma 90.00
loop_
_symmetry_equiv_pos_as_xyz
'x,y,z'
'-x,-y,-z'
'-x,y,-z'
'x,-y,z'
'x+1/2,y+1/2,z'
'-x+1/2,-y+1/2,-z'
'-x+1/2,y+1/2,-z'
'x+1/2,-y+1/2,z'
loop_
_atom_site_label
_atom_site_fract_x
_atom_site_fract_y
_atom_site_fract_z
Hg1 0.005 0.000 0.301
Hg2 0.118 0.000 0.581
Hg3 0.125 0.000 0.046
I1 0.191 0.500 0.758
O1 0.008 0.000 0.126

---

5.
# PBE HgIO3, optimized geometry
# VASP energy, eV per atom: -2.625
data_HgIO3
_chemical_formula_sum 'Hg1 I1 O3'
_symmetry_space_group_name_H-M 'P m -3 m'
_symmetry_Int_Tables_number 221
_symmetry_space_group_name_Hall '-P 4 2 3'
_cell_length_a 4.225
_cell_length_b 4.225
_cell_length_c 4.225
_cell_angle_alpha 90.00
_cell_angle_beta 90.00
_cell_angle_gamma 90.00
loop_
_atom_site_label
_atom_site_fract_x
_atom_site_fract_y
_atom_site_fract_z
Hg1 0.000 0.000 0.000
I1 0.500 0.500 0.500
O1 0.000 0.000 0.500

---

6.
# PBE Hg3IO6, optimized geometry
# VASP energy, eV per atom: -3.467
data_Hg3IO6
_chemical_formula_sum 'Hg18 I6 O36'
_symmetry_space_group_name_H-M 'R -3'
_symmetry_Int_Tables_number 148
_symmetry_space_group_name_Hall '-R 3'
_cell_length_a 9.5654
_cell_length_b 9.5654
_cell_length_c 12.0634
_cell_angle_alpha 90.00
_cell_angle_beta 90.00
_cell_angle_gamma 120.00
loop_
_atom_site_label
_atom_site_fract_x
_atom_site_fract_y
_atom_site_fract_z
Hg1 0.0320 0.2533 0.2171
I1 0.0000 0.0000 0.0000
I2 0.0000 0.0000 0.5000
O1 0.0307 0.1824 0.8895
O2 0.0563 0.1877 0.4089

---

Calculated V, 26.48; 25.39; 17.90; 52.74; 15.08; 15.93 A^3/atom (same order as the records).